Here is a relaxed structure of Zn3SbI9 from Alexandria. Energies are from PBE-GGA.

abc: 10.215 11.259 12.416
angles: 75.35 65.71 63.02
Atoms (fractional coordinates):
I  0.078  0.572  0.528
Zn  0.441  0.742  0.223
I  0.168  0.690  0.831
I  0.570  0.787  0.704
Zn  0.995  0.949  0.830
I  0.799  0.992  0.725
I  0.835  0.935  0.372
I  0.166  0.093  0.708
I  0.033  0.593  0.208
I  0.394  0.795  0.433
Zn  0.225  0.449  0.330
I  0.378  0.295  0.933
I  0.311  0.190  0.331
I  0.939  0.287  0.204
I  0.485  0.492  0.225
Zn  0.811  0.550  0.670
I  0.273  0.900  0.086
I  0.476  0.248  0.561
I  0.859  0.435  0.872
Zn  0.969  0.050  0.170
I  0.741  0.400  0.586
Sb  0.016  0.503  0.008
Zn  0.594  0.242  0.723
Sb  0.473  0.003  0.508
I  0.715  0.748  0.061
I  0.822  0.072  0.028

Here is a relaxed structure of ZnSbI from Alexandria. Energies are from PBE-GGA.

abc: 4.183 8.039 13.506
angles: 90.00 90.00 90.00
Atoms (fractional coordinates):
Sb  0.250  0.995  0.426
Zn  0.250  0.173  0.062
Sb  0.750  0.005  0.574
Zn  0.750  0.827  0.938
I  0.750  0.974  0.132
Sb  0.750  0.505  0.926
I  0.750  0.474  0.368
I  0.250  0.526  0.632
Sb  0.250  0.495  0.074
I  0.250  0.026  0.868
Zn  0.250  0.673  0.438
Zn  0.750  0.327  0.562

Here is a relaxed structure of ZnSb2I2 from Alexandria. Energies are from PBE-GGA.

abc: 7.526 7.526 5.437
angles: 90.00 90.00 90.00
Atoms (fractional coordinates):
Zn  0.500  0.500  0.000
Sb  0.352  0.852  0.000
I  0.305  0.195  0.500
Zn  0.000  0.000  0.000
Sb  0.148  0.352  0.000
I  0.695  0.805  0.500
Sb  0.648  0.148  0.000
I  0.195  0.695  0.500
Sb  0.852  0.648  0.000
I  0.805  0.305  0.500

Here is a relaxed structure of ZnSb2I8 from Alexandria. Energies are from PBE-GGA.

abc: 8.499 8.914 11.312
angles: 106.25 90.00 118.47
Atoms (fractional coordinates):
I  0.570  0.630  0.831
Sb  0.816  0.632  0.669
I  0.051  0.102  0.814
I  0.940  0.370  0.169
I  0.366  0.732  0.474
I  0.060  0.630  0.831
Sb  0.184  0.368  0.331
I  0.430  0.370  0.169
Zn  0.000  0.000  0.000
I  0.634  0.268  0.526
I  0.949  0.898  0.186

no.,raw formation energy (eV per atom),DFT total energy (eV for the cell shown)
1,-0.44,-55.35
2,-0.23,-30.56
3,0.13,-23.97
4,-0.30,-25.17